P.
# Sr2ScW2 GGA-PBE relaxed
# SG: P4/mbm, No. 127
data_Sr2ScW2
_chemical_formula_sum 'Sr4 Sc2 W4'
_cell_length_a 9.1995
_cell_length_b 9.1995
_cell_length_c 3.2630
_cell_angle_alpha 90.00
_cell_angle_beta 90.00
_cell_angle_gamma 90.00
_symmetry_space_group_name_H-M 'P 1'
_symmetry_Int_Tables_number 1
loop_
_symmetry_equiv_pos_as_xyz
'x,y,z'
loop_
_atom_site_label
_atom_site_fract_x
_atom_site_fract_y
_atom_site_fract_z
Sr1 0.2017 0.2983 0.0000
Sr2 0.2983 0.7983 0.0000
Sr3 0.7017 0.2017 0.0000
Sr4 0.7983 0.7017 0.0000
Sc1 0.0000 0.0000 0.5000
Sc2 0.5000 0.5000 0.5000
W1 0.0881 0.5881 0.5000
W2 0.4119 0.0881 0.5000
W3 0.5881 0.9119 0.5000
W4 0.9119 0.4119 0.5000

Q.
# Sr2ScW2 GGA-PBE relaxed
# SG: I4/mmm, No. 139
data_Sr2ScW2
_chemical_formula_sum 'Sr4 Sc2 W4'
_cell_length_a 4.3713
_cell_length_b 4.3713
_cell_length_c 14.3443
_cell_angle_alpha 90.00
_cell_angle_beta 90.00
_cell_angle_gamma 90.00
_symmetry_space_group_name_H-M 'P 1'
_symmetry_Int_Tables_number 1
loop_
_symmetry_equiv_pos_as_xyz
'x,y,z'
loop_
_atom_site_label
_atom_site_fract_x
_atom_site_fract_y
_atom_site_fract_z
Sr1 0.0000 0.5000 0.2500
Sr2 0.0000 0.5000 0.7500
Sr3 0.5000 0.0000 0.2500
Sr4 0.5000 0.0000 0.7500
Sc1 0.0000 0.0000 0.0000
Sc2 0.5000 0.5000 0.5000
W1 0.0000 0.0000 0.4220
W2 0.0000 0.0000 0.5780
W3 0.5000 0.5000 0.0780
W4 0.5000 0.5000 0.9220

Verdict on stability: Q comes out at the bottom.